Entry from Alexandria via LeMat-Bulk: a PBEsol-optimized structure of RbCrS2 (SCAN).

```
RbCrS2
1.0
6.442 0.059 0.092
-2.628 5.882 -0.092
-2.628 -2.508 5.321
Rb S Cr
2 4 2
direct
0.500 0.750 0.250
0.000 0.000 0.000
0.380 0.505 0.625
0.880 0.375 0.755
0.620 0.245 0.125
0.120 0.875 0.495
0.000 0.500 0.500
0.500 0.250 0.750
```

Energy relative to the elements, uncorrected   -1.097 eV per atom
Total moment   3.0 μB/f.u.
Fermi-level density of states   0.16 states/eV per atom
Crystal system   tetragonal